CsBe3As: optimized geometry, PBE.

Excess energy over the best structure of this formula in the dataset: 1445 meV/atom
Energy: -0.79 eV/atom
Formation energy: 2.55 eV/atom
Space group: No. 221

Cell: 5.057 5.057 5.057 Å, 90.00 90.00 90.00°
Atoms (fractional coordinates):
1 Cs 0.000 0.000 0.000
2 Be 0.000 0.500 0.000
3 Be 0.000 0.000 0.500
4 Be 0.500 0.000 0.000
5 As 0.500 0.500 0.500